Record 1
VASP calculation (PBE-GGA) on a relaxed AuBr2Cl crystal. Values from VASP.

Geometry as Quantum ESPRESSO input:
```
&SYSTEM
  ibrav = 0, nat = 4, ntyp = 3
/
ATOMIC_SPECIES
Cl 35.45 Cl.upf
Br 79.90 Br.upf
Au 196.97 Au.upf
CELL_PARAMETERS angstrom
3.1336 0.0000 0.0000
0.0000 3.1336 0.0000
0.0000 0.0000 10.8908
ATOMIC_POSITIONS crystal
Cl 0.5000 0.5000 0.2500
Br 0.0000 0.0000 0.9379
Au 0.5000 0.5000 0.7500
Br 0.0000 0.0000 0.5621
```

## Properties
The calculation puts the spin magnetization at 0.303 Bohr magnetons per cell. For the formation energy (no corrections), the calculation gives 490 meV/atom. The value obtained for the density is 6.090 g cm⁻³. As for the space group: P4/mmm. The polymorph energy (0 for the lowest one) comes out at 0.664 eV/atom. As for the density of states at the Fermi level: 4.308 states/eV/cell.



Record 2
VASP calculation (PBE-GGA) on a relaxed LiY2MgTl4 crystal. Values from VASP.

Geometry as Quantum ESPRESSO input:
```
&SYSTEM
  ibrav = 0, nat = 8, ntyp = 4
/
ATOMIC_SPECIES
Tl 204.38 Tl.upf
Li 6.94 Li.upf
Y 88.91 Y.upf
Mg 24.30 Mg.upf
CELL_PARAMETERS angstrom
-3.5162 0.3999 -3.8597
-5.0158 -1.2115 0.8917
-4.3951 7.8072 1.2607
ATOMIC_POSITIONS crystal
Tl 0.3777 0.3777 0.8670
Li 0.5000 0.5000 0.5000
Y 0.7484 0.7484 0.7547
Mg 0.0000 0.0000 0.0000
Y 0.2516 0.2516 0.2453
Tl 0.8727 0.8727 0.3818
Tl 0.1273 0.1273 0.6182
Tl 0.6223 0.6223 0.1330
```

## Properties
The calculation puts the spin magnetization at 0.000 Bohr magnetons per cell. The value obtained for the density is 8.418 g cm⁻³. As for the space group: R-3m. As for the density of states at the Fermi level: 2.789 states/eV/cell. The value obtained for the formation energy is -0.272 eV per atom.



Record 3
VASP calculation (PBE-GGA) on a relaxed Cr2OsCl crystal. Values from VASP.

Geometry as Quantum ESPRESSO input:
```
&SYSTEM
  ibrav = 0, nat = 8, ntyp = 3
/
ATOMIC_SPECIES
Os 190.23 Os.upf
Cl 35.45 Cl.upf
Cr 52.00 Cr.upf
CELL_PARAMETERS angstrom
5.4263 0.0000 0.0000
0.0000 5.4263 0.0000
2.7131 2.7131 4.8770
ATOMIC_POSITIONS crystal
Os 0.7500 0.2500 0.5000
Cl 0.2500 0.7500 0.5000
Os 0.0000 0.0000 0.0000
Cr 0.3750 0.3854 0.7500
Cl 0.5000 0.5000 0.0000
Cr 0.8750 0.8646 0.7500
Cr 0.6146 0.1250 0.2500
Cr 0.1354 0.6250 0.2500
```

## Properties
The calculation puts the spin magnetization at 1.786 Bohr magnetons per cell. For the formation energy (no corrections), the calculation gives 886 meV/atom. The value obtained for the density is 7.624 g cm⁻³. As for the space group: I-42d. The polymorph energy (0 for the lowest one) comes out at 0.717 eV/atom. As for the density of states at the Fermi level: 7.841 states/eV/cell.



Record 4
VASP calculation (PBE-GGA) on a relaxed DyErZnSi crystal. Values from VASP.

Geometry as Quantum ESPRESSO input:
```
&SYSTEM
  ibrav = 0, nat = 4, ntyp = 4
/
ATOMIC_SPECIES
Zn 65.41 Zn.upf
Dy 162.50 Dy.upf
Er 167.26 Er.upf
Si 28.09 Si.upf
CELL_PARAMETERS angstrom
4.1569 0.0000 0.0000
0.0000 4.0436 0.0000
-2.0785 0.0000 5.3764
ATOMIC_POSITIONS crystal
Zn 0.5711 0.5000 0.1422
Dy 0.1434 0.0000 0.2867
Er 0.8596 0.5000 0.7192
Si 0.4259 0.0000 0.8519
```

## Properties
The calculation puts the spin magnetization at 0.223 Bohr magnetons per cell. For the formation energy (no corrections), the calculation gives -571 meV/atom. The value obtained for the density is 7.777 g cm⁻³. As for the space group: Amm2. The polymorph energy (0 for the lowest one) comes out at 0.000 eV/atom. As for the density of states at the Fermi level: 3.857 states/eV/cell.



Record 5
VASP calculation (PBE-GGA) on a relaxed EuH3 crystal. Values from VASP.

Geometry as Quantum ESPRESSO input:
```
&SYSTEM
  ibrav = 0, nat = 4, ntyp = 2
/
ATOMIC_SPECIES
H 1.01 H.upf
Eu 151.96 Eu.upf
CELL_PARAMETERS angstrom
-1.1358 -0.7003 -3.2073
-1.6162 -2.8347 1.1913
-1.6204 3.7407 1.6383
ATOMIC_POSITIONS crystal
H 0.6461 0.6461 0.2922
Eu 0.0000 0.0000 0.0000
H 0.5000 0.5000 0.0000
H 0.3539 0.3539 0.7078
```

## Properties
The calculation puts the spin magnetization at 7.610 Bohr magnetons per cell. The value obtained for the density is 5.855 g cm⁻³. As for the space group: I4/mmm. For the total energy, the calculation gives -5.07 eV/atom. As for the density of states at the Fermi level: 0.969 states/eV/cell.



Record 6
VASP calculation (PBE-GGA) on a relaxed BaCrSn2 crystal. Values from VASP.

Geometry as Quantum ESPRESSO input:
```
&SYSTEM
  ibrav = 0, nat = 8, ntyp = 3
/
ATOMIC_SPECIES
Sn 118.71 Sn.upf
Ba 137.33 Ba.upf
Cr 52.00 Cr.upf
CELL_PARAMETERS angstrom
-5.2892 -2.1476 0.9778
1.0717 -4.3242 -3.7009
1.1017 -8.1209 5.2757
ATOMIC_POSITIONS crystal
Sn 0.3718 0.1250 0.2500
Sn 0.8750 0.6218 0.7500
Sn 0.3750 0.6282 0.7500
Ba 0.0000 0.0000 0.0000
Cr 0.2500 0.7500 0.5000
Cr 0.5000 0.5000 0.0000
Sn 0.3782 0.6250 0.2500
Ba 0.7500 0.2500 0.5000
```

## Properties
The calculation puts the spin magnetization at 5.975 Bohr magnetons per cell. The value obtained for the density is 4.777 g cm⁻³. As for the space group: I-42d. As for the density of states at the Fermi level: 4.845 states/eV/cell. The value obtained for the formation energy is 0.074 eV per atom.



Record 7
VASP calculation (PBE-GGA) on a relaxed K2Cd2S3 crystal. Values from VASP.

Geometry as Quantum ESPRESSO input:
```
&SYSTEM
  ibrav = 0, nat = 28, ntyp = 3
/
ATOMIC_SPECIES
Cd 112.41 Cd.upf
S 32.06 S.upf
K 39.10 K.upf
CELL_PARAMETERS angstrom
6.7580 0.0725 2.5649
3.3534 10.4473 1.2482
-0.2511 0.0198 11.0402
ATOMIC_POSITIONS crystal
Cd 0.6170 0.0828 0.5459
S 0.2647 0.7304 0.5831
Cd 0.1170 0.5459 0.0828
K 0.7500 0.5695 0.4305
S 0.7353 0.2696 0.4169
K 0.6098 0.8087 0.9877
K 0.3902 0.1913 0.0123
Cd 0.8641 0.7925 0.6444
K 0.7500 0.2843 0.7157
K 0.2500 0.7157 0.2843
S 0.3343 0.9926 0.2361
Cd 0.8830 0.4541 0.9172
K 0.2500 0.4305 0.5695
S 0.2353 0.4169 0.2696
S 0.7265 0.5670 0.1465
S 0.2265 0.1465 0.5670
K 0.8902 0.0123 0.1913
S 0.7647 0.5831 0.7304
Cd 0.6359 0.3556 0.2075
S 0.6657 0.0074 0.7639
K 0.1098 0.9877 0.8087
S 0.1657 0.7639 0.0074
S 0.7735 0.8535 0.4330
S 0.2735 0.4330 0.8535
Cd 0.3641 0.6444 0.7925
S 0.8343 0.2361 0.9926
Cd 0.3830 0.9172 0.4541
Cd 0.1359 0.2075 0.3556
```

## Properties
The calculation puts the spin magnetization at 0.000 Bohr magnetons per cell. For the formation energy (no corrections), the calculation gives -904 meV/atom. The value obtained for the density is 3.384 g cm⁻³. As for the space group: C2/c. The polymorph energy (0 for the lowest one) comes out at 0.000 eV/atom. As for the density of states at the Fermi level: 0.000 states/eV/cell.



Record 8
VASP calculation (PBE-GGA) on a relaxed NdTm3O crystal. Values from VASP.

Geometry as Quantum ESPRESSO input:
```
&SYSTEM
  ibrav = 0, nat = 5, ntyp = 3
/
ATOMIC_SPECIES
Tm 168.93 Tm.upf
O 16.00 O.upf
Nd 144.24 Nd.upf
CELL_PARAMETERS angstrom
-2.7115 2.4355 3.2885
-3.8825 -0.2845 -2.9905
-1.2931 -4.2527 2.0834
ATOMIC_POSITIONS crystal
Tm 0.0000 0.5000 0.0000
O 0.0000 0.0000 0.0000
Tm 0.0000 0.0000 0.5000
Tm 0.5000 0.0000 0.0000
Nd 0.5000 0.5000 0.5000
```

## Properties
The calculation puts the spin magnetization at 0.001 Bohr magnetons per cell. For the formation energy (no corrections), the calculation gives -1061 meV/atom. The value obtained for the density is 9.363 g cm⁻³. As for the space group: Pm-3m. As for the density of states at the Fermi level: 7.464 states/eV/cell.



Record 9
VASP calculation (PBE-GGA) on a relaxed Er2BeSi2Rh5 crystal. Values from VASP.

Geometry as Quantum ESPRESSO input:
```
&SYSTEM
  ibrav = 0, nat = 20, ntyp = 4
/
ATOMIC_SPECIES
Rh 102.91 Rh.upf
Er 167.26 Er.upf
Si 28.09 Si.upf
Be 9.01 Be.upf
CELL_PARAMETERS angstrom
-1.6025 -1.7869 2.3337
7.8632 -5.4567 1.2215
3.1519 6.0661 6.8092
ATOMIC_POSITIONS crystal
Rh 0.5000 0.7041 0.4335
Er 0.0000 0.3271 0.8271
Si 0.0000 0.6282 0.8718
Be 0.0000 0.5000 0.5000
Rh 0.5000 0.0665 0.7959
Rh 0.5000 0.2041 0.0665
Er 0.0000 0.1729 0.3271
Rh 0.5000 0.0000 0.5000
Rh 0.5000 0.4335 0.2959
Er 0.0000 0.8271 0.6729
Er 0.0000 0.6729 0.1729
Si 0.0000 0.1282 0.6282
Rh 0.5000 0.2959 0.5665
Rh 0.5000 0.7959 0.9335
Rh 0.5000 0.5000 0.0000
Rh 0.5000 0.9335 0.2041
Be 0.0000 0.0000 0.0000
Si 0.0000 0.3718 0.1282
Rh 0.5000 0.5665 0.7041
Si 0.0000 0.8718 0.3718
```

## Properties
The calculation puts the spin magnetization at 0.000 Bohr magnetons per cell. For the formation energy (no corrections), the calculation gives -874 meV/atom. The value obtained for the density is 9.742 g cm⁻³. As for the space group: P4/mbm. As for the density of states at the Fermi level: 4.803 states/eV/cell.



Record 10
VASP calculation (PBE-GGA) on a relaxed BaIr2Au crystal. Values from VASP.

Geometry as Quantum ESPRESSO input:
```
&SYSTEM
  ibrav = 0, nat = 4, ntyp = 3
/
ATOMIC_SPECIES
Au 196.97 Au.upf
Ba 137.33 Ba.upf
Ir 192.22 Ir.upf
CELL_PARAMETERS angstrom
10.2744 0.0003 0.0001
9.8320 2.9827 0.0001
9.8320 1.4586 2.6017
ATOMIC_POSITIONS crystal
Au 0.5125 0.5125 0.5125
Ba 0.7472 0.7472 0.7472
Ir 0.9865 0.9865 0.9865
Ir 0.2537 0.2537 0.2537
```

## Properties
The calculation puts the spin magnetization at 0.011 Bohr magnetons per cell. The value obtained for the density is 14.971 g cm⁻³. As for the space group: R3m. The polymorph energy (0 for the lowest one) comes out at 0.858 eV/atom. As for the density of states at the Fermi level: 5.334 states/eV/cell. The value obtained for the formation energy is 0.717 eV per atom.



Record 11
VASP calculation (PBE-GGA) on a relaxed Ba7AsS5 crystal. Values from VASP.

Geometry as Quantum ESPRESSO input:
```
&SYSTEM
  ibrav = 0, nat = 26, ntyp = 3
/
ATOMIC_SPECIES
Ba 137.33 Ba.upf
S 32.06 S.upf
As 74.92 As.upf
CELL_PARAMETERS angstrom
-2.9734 3.3483 -0.9566
-3.1579 -6.6885 -2.6364
-11.9387 -3.7831 23.8675
ATOMIC_POSITIONS crystal
Ba 0.6369 0.2739 0.0358
Ba 0.3634 0.7268 0.5357
S 0.0003 0.0007 0.0001
Ba 0.1841 0.3681 0.1772
Ba 0.9120 0.8240 0.3932
As 0.7940 0.5880 0.2500
Ba 0.8164 0.6327 0.6771
S 0.5440 0.0881 0.1437
Ba 0.1842 0.3685 0.3228
Ba 0.8167 0.6334 0.8228
Ba 0.3637 0.7275 0.9643
S 0.5442 0.0883 0.3564
Ba 0.6368 0.2736 0.4642
Ba 0.4524 0.9049 0.2501
S 0.0001 0.0001 0.5000
S 0.4567 0.9135 0.8564
S 0.7267 0.4535 0.9269
As 0.2068 0.4137 0.7500
S 0.4564 0.9127 0.6435
S 0.2740 0.5479 0.0731
S 0.7264 0.4527 0.5730
Ba 0.5484 0.0967 0.7499
S 0.2739 0.5479 0.4269
Ba 0.0887 0.1775 0.8932
Ba 0.0884 0.1767 0.6067
Ba 0.9119 0.8238 0.1069
```

## Properties
The calculation puts the spin magnetization at 1.406 Bohr magnetons per cell. For the formation energy (no corrections), the calculation gives -1785 meV/atom. The value obtained for the density is 4.287 g cm⁻³. As for the space group: Cm. As for the density of states at the Fermi level: 8.547 states/eV/cell.



Record 12
VASP calculation (PBE-GGA) on a relaxed HoSnSb2 crystal. Values from VASP.

Geometry as Quantum ESPRESSO input:
```
&SYSTEM
  ibrav = 0, nat = 4, ntyp = 3
/
ATOMIC_SPECIES
Sb 121.76 Sb.upf
Ho 164.93 Ho.upf
Sn 118.71 Sn.upf
CELL_PARAMETERS angstrom
4.1348 0.0000 0.0000
0.0000 4.1348 0.0000
0.0000 0.0000 6.3468
ATOMIC_POSITIONS crystal
Sb 0.0000 0.0000 0.2614
Sb 0.0000 0.0000 0.7386
Ho 0.5000 0.5000 0.5000
Sn 0.5000 0.5000 0.0000
```

## Properties
The calculation puts the spin magnetization at 0.000 Bohr magnetons per cell. For the formation energy (no corrections), the calculation gives -443 meV/atom. The value obtained for the density is 8.067 g cm⁻³. As for the space group: P4/mmm. The polymorph energy (0 for the lowest one) comes out at 0.000 eV/atom. As for the density of states at the Fermi level: 2.299 states/eV/cell.



Among the records above, which one has the lowest density? K2Cd2S3